# AcCdNi2H8 (PBE, optimized geometry)
data_AcCdNi2H8
_chemical_formula_sum 'Ac3 Cd3 Ni6 H24'
_space_group_name_H-M_alt 'R -3'
_space_group_IT_number 148
_space_group_name_Hall '-R 3'
_cell_length_a 4.8148
_cell_length_b 4.8148
_cell_length_c 18.2001
_cell_angle_alpha 90.00
_cell_angle_beta 90.00
_cell_angle_gamma 120.00
loop_
_atom_site_label
_atom_site_type_symbol
_atom_site_fract_x
_atom_site_fract_y
_atom_site_fract_z
Ac1 Ac 0.0000 0.0000 0.0000
Cd1 Cd 0.0000 0.0000 0.5000
Ni1 Ni 0.0000 0.0000 0.2300
H1 H 0.0000 0.0000 0.3137
H2 H 0.0019 0.3479 0.4378
# Final energy ... -131.7 eV/cell
# Calculated volume ... 121.8 Å³/f.u.